Entry 1:
Material: Ce3Ga2Co7
Method: DFT, PBE-GGA
State: relaxed

Output
M_tot in μB/f.u.: 1.060
V in A^3/atom: 14.9
ΔH_f (0 K) in meV/atom: -295.3
DOS(E_F) in states/eV/cell: 15.221
Space-group type: R-3m

Cell: 8.283 8.283 8.283 Å, 36.34 36.34 36.34°
Atoms (fractional coordinates):
Ce  0.000  0.000  0.000
Ce  0.140  0.140  0.140
Ce  0.860  0.860  0.860
Ga  0.333  0.333  0.333
Ga  0.667  0.667  0.667
Co  0.087  0.582  0.582
Co  0.418  0.418  0.913
Co  0.418  0.913  0.418
Co  0.500  0.500  0.500
Co  0.582  0.087  0.582
Co  0.582  0.582  0.087
Co  0.913  0.418  0.418

Entry 2:
Material: CeGa3Co
Method: DFT, PBE-GGA
State: relaxed

Output
M_tot in μB/f.u.: 0.224
V in A^3/atom: 17.8
ΔH_f (0 K) in meV/atom: -497.6
DOS(E_F) in states/eV/cell: 20.039
Excess energy over the best structure of this formula in the dataset in eV per formula unit: 0.00
Space-group type: Pnma

Cell: 8.199 4.122 10.519 Å, 90.00 90.00 90.00°
Atoms (fractional coordinates):
Ce  0.194  0.250  0.008
Ce  0.306  0.750  0.508
Ce  0.694  0.250  0.492
Ce  0.806  0.750  0.992
Ga  0.056  0.250  0.586
Ga  0.113  0.750  0.788
Ga  0.140  0.750  0.216
Ga  0.360  0.250  0.716
Ga  0.387  0.250  0.288
Ga  0.444  0.750  0.086
Ga  0.556  0.250  0.914
Ga  0.613  0.750  0.712
Ga  0.640  0.750  0.284
Ga  0.860  0.250  0.784
Ga  0.887  0.250  0.212
Ga  0.944  0.750  0.414
Co  0.109  0.250  0.355
Co  0.391  0.750  0.855
Co  0.609  0.250  0.145
Co  0.891  0.750  0.645

Entry 3:
Material: Ce4GaCo
Method: DFT, PBE-GGA
State: relaxed

Output
M_tot in μB/f.u.: 0.001
V in A^3/atom: 23.1
ΔH_f (0 K) in meV/atom: -223.8
DOS(E_F) in states/eV/cell: 26.338
Space-group type: C2/c

Cell: 7.888 7.888 5.600 Å, 101.30 101.30 120.17°
Atoms (fractional coordinates):
Ce  0.099  0.710  0.910
Ce  0.208  0.359  0.658
Ce  0.290  0.901  0.590
Ce  0.359  0.208  0.158
Ce  0.641  0.792  0.842
Ce  0.710  0.099  0.410
Ce  0.792  0.641  0.342
Ce  0.901  0.290  0.090
Ga  0.381  0.619  0.250
Ga  0.619  0.381  0.750
Co  0.015  0.985  0.250
Co  0.985  0.015  0.750

Entry 4:
Material: Ce5GaCo
Method: DFT, PBE-GGA
State: relaxed

Output
M_tot in μB/f.u.: 0.004
V in A^3/atom: 22.9
ΔH_f (0 K) in meV/atom: -91.0
DOS(E_F) in states/eV/cell: 32.564
Space-group type: C2/c

Cell: 7.110 7.110 8.577 Å, 108.11 108.11 51.89°
Atoms (fractional coordinates):
Ce  0.123  0.148  0.569
Ce  0.148  0.123  0.069
Ce  0.246  0.754  0.750
Ce  0.280  0.301  0.900
Ce  0.301  0.280  0.400
Ce  0.699  0.720  0.600
Ce  0.720  0.699  0.100
Ce  0.754  0.246  0.250
Ce  0.852  0.877  0.931
Ce  0.877  0.852  0.431
Ga  0.269  0.731  0.250
Ga  0.731  0.269  0.750
Co  0.500  0.500  0.000
Co  0.500  0.500  0.500

Entry 5:
Material: Ce2Ga12Co
Method: DFT, PBE-GGA
State: relaxed

Output
M_tot in μB/f.u.: 0.681
V in A^3/atom: 18.7
ΔH_f (0 K) in meV/atom: -377.1
DOS(E_F) in states/eV/cell: 21.047
Space-group type: P4/nbm

Cell: 6.015 6.015 15.501 Å, 90.00 90.00 90.00°
Atoms (fractional coordinates):
Ce  0.250  0.750  0.239
Ce  0.250  0.750  0.761
Ce  0.750  0.250  0.239
Ce  0.750  0.250  0.761
Ga  0.000  0.000  0.083
Ga  0.000  0.000  0.917
Ga  0.000  0.500  0.083
Ga  0.000  0.500  0.917
Ga  0.080  0.580  0.429
Ga  0.080  0.920  0.571
Ga  0.250  0.250  0.185
Ga  0.250  0.250  0.341
Ga  0.250  0.250  0.659
Ga  0.250  0.250  0.815
Ga  0.420  0.580  0.571
Ga  0.420  0.920  0.429
Ga  0.500  0.000  0.083
Ga  0.500  0.000  0.917
Ga  0.500  0.500  0.083
Ga  0.500  0.500  0.917
Ga  0.580  0.080  0.571
Ga  0.580  0.420  0.429
Ga  0.750  0.750  0.185
Ga  0.750  0.750  0.341
Ga  0.750  0.750  0.659
Ga  0.750  0.750  0.815
Ga  0.920  0.080  0.429
Ga  0.920  0.420  0.571
Co  0.250  0.750  0.000
Co  0.750  0.250  0.000

Entry 6:
Material: CeGaCo
Method: DFT, PBE-GGA
State: relaxed

Output
M_tot in μB/f.u.: 0.000
V in A^3/atom: 19.0
ΔH_f (0 K) in meV/atom: -379.1
DOS(E_F) in states/eV/cell: 4.391
Space-group type: P-6m2

Cell: 4.275 4.275 3.593 Å, 90.00 90.00 120.00°
Atoms (fractional coordinates):
Ce  0.000  0.000  0.000
Ga  0.333  0.667  0.500
Co  0.667  0.333  0.500

Entry 7:
Material: Ce7Ga2Co2
Method: DFT, PBE-GGA
State: relaxed

Output
M_tot in μB/f.u.: 2.097
V in A^3/atom: 24.5
ΔH_f (0 K) in meV/atom: -172.2
DOS(E_F) in states/eV/cell: 25.858
Space-group type: Cmmm

Cell: 6.602 6.602 6.562 Å, 90.00 90.00 109.70°
Atoms (fractional coordinates):
Ce  0.000  0.000  0.000
Ce  0.000  0.500  0.275
Ce  0.000  0.500  0.725
Ce  0.500  0.000  0.275
Ce  0.500  0.000  0.725
Ce  0.500  0.500  0.219
Ce  0.500  0.500  0.781
Ga  0.167  0.167  0.500
Ga  0.833  0.833  0.500
Co  0.269  0.731  0.000
Co  0.731  0.269  0.000

Entry 8:
Material: CeGa11Co
Method: DFT, PBE-GGA
State: relaxed

Output
M_tot in μB/f.u.: 0.713
V in A^3/atom: 17.9
ΔH_f (0 K) in meV/atom: -158.0
DOS(E_F) in states/eV/cell: 9.399
Space-group type: C2/m

Cell: 6.615 6.615 7.889 Å, 96.87 96.87 134.89°
Atoms (fractional coordinates):
Ce  0.000  0.000  0.000
Ga  0.000  0.000  0.500
Ga  0.000  0.500  0.000
Ga  0.038  0.381  0.368
Ga  0.275  0.490  0.765
Ga  0.381  0.038  0.368
Ga  0.490  0.275  0.765
Ga  0.500  0.000  0.000
Ga  0.510  0.725  0.235
Ga  0.619  0.962  0.632
Ga  0.725  0.510  0.235
Ga  0.962  0.619  0.632
Co  0.500  0.500  0.500

Entry 9:
Material: CeGaCo
Method: DFT, PBE-GGA
State: relaxed

Output
M_tot in μB/f.u.: 0.000
V in A^3/atom: 19.9
ΔH_f (0 K) in meV/atom: -366.5
DOS(E_F) in states/eV/cell: 12.622
Space-group type: Imm2

Cell: 7.526 7.526 7.526 Å, 146.44 61.65 129.91°
Atoms (fractional coordinates):
Ce  0.000  0.000  0.000
Ce  0.408  0.072  0.336
Ce  0.737  0.072  0.664
Ga  0.247  0.579  0.668
Ga  0.500  0.500  0.000
Ga  0.911  0.579  0.332
Co  0.121  0.275  0.846
Co  0.296  0.796  0.500
Co  0.430  0.275  0.154

Entry 10:
Material: CeGa3Co
Method: DFT, PBE-GGA
State: relaxed

Output
M_tot in μB/f.u.: 1.942
V in A^3/atom: 19.1
ΔH_f (0 K) in meV/atom: -389.0
DOS(E_F) in states/eV/cell: 8.299
Excess energy over the best structure of this formula in the dataset in eV per formula unit: 0.54
Space-group type: Pm-3m

Cell: 4.574 4.574 4.574 Å, 90.00 90.00 90.00°
Atoms (fractional coordinates):
Ce  0.000  0.000  0.000
Ga  0.000  0.500  0.500
Ga  0.500  0.000  0.500
Ga  0.500  0.500  0.000
Co  0.500  0.500  0.500

Entry 11:
Material: CeGa2Co2
Method: DFT, PBE-GGA
State: relaxed

Output
M_tot in μB/f.u.: 0.000
V in A^3/atom: 16.6
ΔH_f (0 K) in meV/atom: -346.2
DOS(E_F) in states/eV/cell: 7.828
Space-group type: Fddd

Cell: 8.024 7.334 5.170 Å, 77.71 63.27 39.02°
Atoms (fractional coordinates):
Ce  0.125  0.125  0.125
Ce  0.875  0.875  0.875
Ga  0.270  0.270  0.480
Ga  0.480  0.480  0.270
Ga  0.520  0.520  0.730
Ga  0.730  0.730  0.520
Co  0.141  0.609  0.141
Co  0.391  0.859  0.391
Co  0.609  0.141  0.609
Co  0.859  0.391  0.859

Entry 12:
Material: Ce2Ga9Co3
Method: DFT, PBE-GGA
State: relaxed

Output
M_tot in μB/f.u.: 0.551
V in A^3/atom: 16.2
ΔH_f (0 K) in meV/atom: -464.6
DOS(E_F) in states/eV/cell: 14.266
Space-group type: C2/c

Cell: 7.492 7.492 10.307 Å, 111.39 111.39 59.83°
Atoms (fractional coordinates):
Ce  0.085  0.251  0.251
Ce  0.251  0.085  0.751
Ce  0.749  0.915  0.249
Ce  0.915  0.749  0.749
Ga  0.025  0.857  0.073
Ga  0.143  0.975  0.427
Ga  0.193  0.358  0.574
Ga  0.208  0.581  0.252
Ga  0.314  0.482  0.944
Ga  0.358  0.193  0.074
Ga  0.370  0.630  0.750
Ga  0.419  0.792  0.248
Ga  0.482  0.314  0.444
Ga  0.518  0.686  0.556
Ga  0.581  0.208  0.752
Ga  0.630  0.370  0.250
Ga  0.642  0.807  0.926
Ga  0.686  0.518  0.056
Ga  0.792  0.419  0.748
Ga  0.807  0.642  0.426
Ga  0.857  0.025  0.573
Ga  0.975  0.143  0.927
Co  0.000  0.500  0.000
Co  0.160  0.671  0.500
Co  0.329  0.840  0.000
Co  0.500  0.000  0.500
Co  0.671  0.160  0.000
Co  0.840  0.329  0.500

- Among the records above, which one has the lowest DOS(E_F)?
  number 6

- What is the M_tot in the seventh record?
  2.097 μB/f.u.

Please write out number 7 again, unchanged.
Material: Ce7Ga2Co2
Method: DFT, PBE-GGA
State: relaxed

Output
M_tot in μB/f.u.: 2.097
V in A^3/atom: 24.5
ΔH_f (0 K) in meV/atom: -172.2
DOS(E_F) in states/eV/cell: 25.858
Space-group type: Cmmm

Cell: 6.602 6.602 6.562 Å, 90.00 90.00 109.70°
Atoms (fractional coordinates):
Ce  0.000  0.000  0.000
Ce  0.000  0.500  0.275
Ce  0.000  0.500  0.725
Ce  0.500  0.000  0.275
Ce  0.500  0.000  0.725
Ce  0.500  0.500  0.219
Ce  0.500  0.500  0.781
Ga  0.167  0.167  0.500
Ga  0.833  0.833  0.500
Co  0.269  0.731  0.000
Co  0.731  0.269  0.000

- What is the V in the eleventh record?
  16.6 A^3/atom